{
  "formula": "Ba2SiSb",
  "functional": "GGA-PBE",
  "state": "optimized geometry",
  "dft_energy_ev_per_atom": -3.53,
  "volume_a3_per_fu": 148.19,
  "formation_energy_uncorrected_ev_per_atom": -0.184,
  "cell": [[-4.590, 4.590, 3.517], [4.590, -4.590, 3.517], [4.590, 4.590, -3.517]],
  "species": ["Ba", "Ba", "Ba", "Ba", "Si", "Si", "Sb", "Sb"],
  "fractional_positions": [[0.110, 0.625, 0.985], [0.375, 0.360, 0.485], [0.640, 0.125, 0.015], [0.875, 0.890, 0.515], [0.000, 0.000, 0.000], [0.750, 0.250, 0.500], [0.250, 0.750, 0.500], [0.500, 0.500, 0.000]]
}